(1)
DFT (PBE) results for crystalline CuSb at its relaxed geometry.

Unit cell a=3.9673 b=11.7291 c=5.3379 alpha=90.00 beta=90.00 gamma=90.00
With the nearest neighbours (Å) after each atom.
Fractional positions:
Cu 0.2500 0.0473 0.1446  3 Cu 2.59-2.75, 4 Sb 2.66-2.74
Cu 0.2500 0.2500 0.3360  2 Cu 2.59, 4 Sb 2.60
Cu 0.2500 0.4527 0.1446  3 Cu 2.59-2.75, 4 Sb 2.66-2.74
Cu 0.7500 0.5473 0.8554  3 Cu 2.59-2.75, 4 Sb 2.66-2.74
Cu 0.7500 0.7500 0.6640  2 Cu 2.59, 4 Sb 2.60
Cu 0.7500 0.9527 0.8554  3 Cu 2.59-2.75, 4 Sb 2.66-2.74
Sb 0.2500 0.0821 0.6531  5 Cu 2.60-2.74
Sb 0.2500 0.4179 0.6531  5 Cu 2.60-2.74
Sb 0.2500 0.7500 0.9797  2 Cu 2.60
Sb 0.7500 0.2500 0.0203  2 Cu 2.60
Sb 0.7500 0.5821 0.3469  5 Cu 2.60-2.74
Sb 0.7500 0.9179 0.3469  5 Cu 2.60-2.74

Calculated values
Uncorrected energy   -3.95 eV/atom

=====

(2)
DFT (PBE) results for crystalline ScNiAs2 at its relaxed geometry.

Unit cell a=3.6095 b=3.6095 c=5.3442 alpha=90.00 beta=90.00 gamma=90.00
With the nearest neighbours (Å) after each atom.
Fractional positions:
Sc 0.0000 0.0000 0.0000  6 As 2.62-2.73
Ni 0.5000 0.5000 0.6197  6 As 2.59-2.75
As 0.0000 0.0000 0.5102  2 Sc 2.62-2.73, 4 Ni 2.62
As 0.5000 0.5000 0.1342  2 Ni 2.59-2.75, 4 Sc 2.65

Calculated values
DFT formation energy   -529 meV per atom
Uncorrected energy   -5.88 eV/atom

=====

(3)
DFT (PBE) results for crystalline Sr2Mg2Hg at its relaxed geometry.

Unit cell a=10.3428 b=10.3428 c=10.3428 alpha=156.63 beta=156.63 gamma=33.29
With the nearest neighbours (Å) after each atom.
Fractional positions:
Sr 0.0961 0.0961 0.0000  4 Hg 3.52, 4 Mg 3.70, 1 Sr 3.81
Sr 0.9039 0.9039 0.0000  4 Hg 3.52, 4 Mg 3.70, 1 Sr 3.81
Mg 0.2500 0.7500 0.5000  4 Mg 2.96
Mg 0.7500 0.2500 0.5000  4 Mg 2.96
Hg 0.5000 0.5000 0.0000  8 Sr 3.52

Calculated values
DFT formation energy   -105 meV per atom
Uncorrected energy   -1.48 eV/atom

=====

(4)
DFT (PBE) results for crystalline ZnHgW2 at its relaxed geometry.

Unit cell a=2.7462 b=2.7462 c=9.2005 alpha=90.00 beta=90.00 gamma=104.50
With the nearest neighbours (Å) after each atom.
Fractional positions:
Zn 0.0000 0.0000 0.0000  8 W 2.73-3.06, 4 Zn 2.75
Hg 0.0000 0.0000 0.5000  4 Hg 2.75, 4 W 2.97
W 0.5000 0.5000 0.2341  4 Zn 2.73-3.06, 4 W 2.75, 2 Hg 2.97
W 0.5000 0.5000 0.7659  4 Zn 2.73-3.06, 4 W 2.75, 2 Hg 2.97

Calculated values
DFT formation energy   618 meV per atom
Uncorrected energy   -6.25 eV/atom

=====

Values for mass density, g/cm3, ordered as above
7.43 6.05 4.05 15.66